*P*
An optimized crystal structure of MgSbP2, computed with PBE-GGA.

Cell: 4.756 4.756 3.381 Å, 90.00 90.00 90.00°
Sites, in units of the cell vectors:
Mg 0.000 0.000 0.000
Sb 0.500 0.500 0.000
P 0.000 0.500 0.500
P 0.500 0.000 0.500

---

*Q*
An optimized crystal structure of MgSbP2, computed with PBE-GGA.

Cell: 4.800 4.800 4.800 Å, 60.00 60.00 60.00°
Sites, in units of the cell vectors:
Mg 0.000 0.000 0.000
Sb 0.750 0.750 0.750
P 0.250 0.250 0.250
P 0.500 0.500 0.500

---

*R*
An optimized crystal structure of MgSbP2, computed with PBE-GGA.

Cell: 5.679 5.679 5.679 Å, 145.71 130.33 61.74°
Sites, in units of the cell vectors:
Mg 0.000 0.000 0.000
Sb 0.288 0.788 0.500
P 0.534 0.534 0.000
P 0.705 0.205 0.500

---

*S*
An optimized crystal structure of MgSbP2, computed with PBE-GGA.

Cell: 4.791 4.791 4.565 Å, 109.44 109.44 106.52°
Sites, in units of the cell vectors:
Mg 0.000 0.000 0.000
Sb 0.500 0.500 0.000
P 0.000 0.500 0.500
P 0.500 0.000 0.500

---

Most stable structure, least stable structure: *S*, *Q*.